[1]
Entry from OQMD: LaBeReW after structural relaxation (PBE-GGA).

Computed properties:
Energy above the most stable polymorph in this dataset (meV/atom): 0.0
Total moment (μB per formula unit): 0.000

abc: 6.535 6.535 6.535
angles: 90.00 90.00 90.00
Sites, in units of the cell vectors:
La 0.000 0.000 0.000
La 0.000 0.500 0.500
La 0.500 0.000 0.500
La 0.500 0.500 0.000
Be 0.250 0.250 0.250
Be 0.250 0.750 0.750
Be 0.750 0.250 0.750
Be 0.750 0.750 0.250
Re 0.000 0.000 0.500
Re 0.000 0.500 0.000
Re 0.500 0.000 0.000
Re 0.500 0.500 0.500
W 0.250 0.250 0.750
W 0.250 0.750 0.250
W 0.750 0.250 0.250
W 0.750 0.750 0.750



[2]
Entry from OQMD: Ho3Mg3InAgIr after structural relaxation (PBE-GGA).

Computed properties:
Energy (eV/atom): -4.127
Total moment (μB per formula unit): 0.004

abc: 7.934 7.934 3.830
angles: 90.00 90.00 120.00
Sites, in units of the cell vectors:
Ho 0.041 0.432 0.000
Ho 0.390 0.959 0.000
Ho 0.568 0.610 0.000
Mg 0.257 0.255 0.500
Mg 0.745 0.002 0.500
Mg 0.998 0.743 0.500
In 0.667 0.333 0.500
Ag 0.000 0.000 0.000
Ir 0.333 0.667 0.500



[3]
Entry from OQMD: Y4Ga3Mo2N3 after structural relaxation (PBE-GGA).

Computed properties:
Energy (eV/atom): -7.669
Total moment (μB per formula unit): 0.000

abc: 5.818 5.818 13.998
angles: 101.76 101.76 60.49
Sites, in units of the cell vectors:
Y 0.035 0.198 0.102
Y 0.129 0.302 0.398
Y 0.198 0.035 0.602
Y 0.302 0.129 0.898
Y 0.698 0.871 0.102
Y 0.802 0.965 0.398
Y 0.871 0.698 0.602
Y 0.965 0.802 0.898
Ga 0.162 0.838 0.250
Ga 0.327 0.416 0.751
Ga 0.416 0.327 0.251
Ga 0.584 0.673 0.749
Ga 0.673 0.584 0.249
Ga 0.838 0.162 0.750
Mo 0.350 0.524 0.074
Mo 0.476 0.650 0.426
Mo 0.524 0.350 0.574
Mo 0.650 0.476 0.926
N 0.000 0.500 0.000
N 0.177 0.661 0.500
N 0.339 0.823 0.000
N 0.500 0.000 0.500
N 0.661 0.177 0.000
N 0.823 0.339 0.500



[4]
Entry from OQMD: Ta2BiAsOs2 after structural relaxation (PBE-GGA).

Computed properties:
Energy (eV/atom): -9.166
Total moment (μB per formula unit): 0.000

abc: 10.711 4.363 10.764
angles: 90.00 109.56 90.00
Sites, in units of the cell vectors:
Ta 0.000 0.000 0.000
Ta 0.117 0.500 0.374
Ta 0.241 0.000 0.743
Ta 0.375 0.500 0.136
Ta 0.500 0.000 0.499
Ta 0.626 0.500 0.866
Ta 0.746 0.000 0.260
Ta 0.869 0.500 0.621
Bi 0.121 0.500 0.876
Bi 0.371 0.500 0.620
Bi 0.501 0.000 0.004
Bi 0.871 0.500 0.126
As 0.247 0.000 0.254
As 0.621 0.500 0.377
As 0.748 0.000 0.744
As 0.993 0.000 0.499
Os 0.132 0.500 0.135
Os 0.234 0.000 0.490
Os 0.371 0.500 0.872
Os 0.500 0.000 0.262
Os 0.627 0.500 0.621
Os 0.751 0.000 0.985
Os 0.866 0.500 0.380
Os 0.989 0.000 0.740



[5]
Entry from OQMD: HgPbSO after structural relaxation (PBE-GGA).

Computed properties:
Energy above the most stable polymorph in this dataset (meV/atom): 278.7

abc: 3.887 3.887 13.404
angles: 90.00 90.00 120.00
Sites, in units of the cell vectors:
Hg 0.333 0.667 0.000
Hg 0.667 0.333 0.500
Pb 0.000 0.000 0.234
Pb 0.000 0.000 0.734
S 0.333 0.667 0.358
S 0.667 0.333 0.858
O 0.000 0.000 0.055
O 0.000 0.000 0.555



[6]
Entry from OQMD: TlAu7 after structural relaxation (PBE-GGA).

Computed properties:
Energy above the most stable polymorph in this dataset (meV/atom): 7.6

abc: 2.954 2.954 44.677
angles: 90.00 90.00 90.00
Sites, in units of the cell vectors:
Tl 0.250 0.250 0.145
Tl 0.750 0.750 0.855
Au 0.250 0.250 0.247
Au 0.250 0.250 0.339
Au 0.250 0.250 0.431
Au 0.250 0.250 0.523
Au 0.250 0.250 0.615
Au 0.250 0.250 0.707
Au 0.250 0.250 0.800
Au 0.750 0.750 0.200
Au 0.750 0.750 0.293
Au 0.750 0.750 0.385
Au 0.750 0.750 0.477
Au 0.750 0.750 0.569
Au 0.750 0.750 0.661
Au 0.750 0.750 0.753